--- P ---
# PmMg

Crystalline PmMg at its relaxed geometry (PBE, OQMD).

Unit cell a=18.001 b=7.038 c=5.431 alpha=90.00 beta=90.00 gamma=90.00
Atoms (fractional coordinates):
Pm: 0.492 0.739 0.000
Pm: 0.505 0.259 0.000
Pm: 0.663 0.996 0.000
Pm: 0.781 0.996 0.500
Pm: 0.163 0.754 0.000
Pm: 0.440 0.491 0.500
Pm: 0.452 0.011 0.500
Pm: 0.281 0.754 0.500
Pm: 0.992 0.011 0.000
Pm: 0.952 0.739 0.500
Pm: 0.940 0.259 0.500
Pm: 0.005 0.491 0.000
Mg: 0.112 0.016 0.500
Mg: 0.333 0.016 0.000
Mg: 0.169 0.246 0.000
Mg: 0.775 0.504 0.500
Mg: 0.117 0.483 0.500
Mg: 0.275 0.246 0.500
Mg: 0.669 0.504 0.000
Mg: 0.833 0.734 0.000
Mg: 0.327 0.483 0.000
Mg: 0.827 0.267 0.000
Mg: 0.617 0.267 0.500
Mg: 0.612 0.734 0.500

Results
* spin magnetization: 0.003 μB per atom
* SG: Pbcm



--- Q ---
# PmMg

Crystalline PmMg at its relaxed geometry (PBE, OQMD).

Unit cell a=5.039 b=5.039 c=5.039 alpha=60.00 beta=60.00 gamma=60.00
Atoms (fractional coordinates):
Mg: 0.000 0.000 0.000
Pm: 0.250 0.250 0.250

Results
* spin magnetization: 0.057 μB per atom
* SG: F-43m



--- R ---
# PmMg

Crystalline PmMg at its relaxed geometry (PBE, OQMD).

Unit cell a=5.466 b=3.864 c=5.452 alpha=90.00 beta=90.00 gamma=90.00
Atoms (fractional coordinates):
Pm: 0.750 0.500 0.257
Pm: 0.250 0.500 0.743
Mg: 0.750 0.000 0.760
Mg: 0.250 0.000 0.240

Results
* spin magnetization: 0.002 μB per atom
* SG: Pmma



Which of them is most stable, and which least? Most stable: R; least stable: Q.



--- P ---
# PmMg

Crystalline PmMg at its relaxed geometry (PBE, OQMD).

Unit cell a=5.924 b=10.520 c=5.578 alpha=90.00 beta=90.00 gamma=90.00
Atoms (fractional coordinates):
Pm: 0.980 0.670 0.000
Pm: 0.861 0.146 0.500
Pm: 0.324 0.349 0.500
Pm: 0.480 0.163 0.000
Pm: 0.361 0.687 0.500
Pm: 0.824 0.484 0.500
Mg: 0.513 0.846 0.000
Mg: 0.478 0.506 0.000
Mg: 0.013 0.988 0.000
Mg: 0.978 0.328 0.000
Mg: 0.345 0.999 0.500
Mg: 0.845 0.834 0.500

Results
* spin magnetization: 0.001 μB per atom
* SG: Pmc2_1



--- Q ---
# PmMg

Crystalline PmMg at its relaxed geometry (PBE, OQMD).

Unit cell a=5.021 b=5.021 c=8.229 alpha=90.00 beta=90.00 gamma=120.00
Each line ends with the local moment (μB).
Atoms (fractional coordinates):
Pm: 0.333 0.667 0.875  0.27
Pm: 0.000 0.000 0.375  0.26
Mg: 0.333 0.667 0.500  0.02
Mg: 0.000 0.000 0.000  0.02

Results
* spin magnetization: 0.374 μB per atom
* SG: P6_3mc



Which of them is most stable, and which least? Most stable: P; least stable: Q.